Record 1
Density functional theory data (PBE-GGA) for a relaxed TiIrPd3 crystal.

a = 4.5243 Å, b = 4.5243 Å, c = 4.5243 Å
α = 90.00°, β = 90.00°, γ = 90.00°
Fractional coordinates of all 5 atoms:
Ti (0.0000, 0.0000, 0.0000)
Ir (0.5000, 0.5000, 0.5000)
Pd (0.0000, 0.0000, 0.5000)
Pd (0.0000, 0.5000, 0.0000)
Pd (0.5000, 0.0000, 0.0000)

Results
Energy above the most stable polymorph in this dataset = 0.00 eV per formula unit
Total magnetic moment = 0.0 μB per formula unit


Record 2
Density functional theory data (PBE-GGA) for a relaxed La4PRhCl2 crystal.

a = 7.3922 Å, b = 4.1199 Å, c = 7.5454 Å
α = 90.00°, β = 108.08°, γ = 90.00°
Fractional coordinates of all 8 atoms:
La (0.2197, 0.0000, 0.2339)
La (0.2276, 0.5000, 0.7398)
La (0.7724, 0.5000, 0.2602)
La (0.7803, 0.0000, 0.7661)
P (0.0000, 0.0000, 0.5000)
Rh (0.0000, 0.5000, 0.0000)
Cl (0.5000, 0.0000, 0.0000)
Cl (0.5000, 0.5000, 0.5000)

Results
Total magnetic moment = 0.0 μB per formula unit
ΔE_f (raw) = -11.50 eV per formula unit


Record 3
Density functional theory data (PBE-GGA) for a relaxed FeCoOs2 crystal.

a = 8.5734 Å, b = 8.5734 Å, c = 8.5734 Å
α = 17.98°, β = 17.98°, γ = 17.98°
Fractional coordinates of all 4 atoms:
Fe (0.0000, 0.0000, 0.0000)
Co (0.7440, 0.7440, 0.7440)
Os (0.2483, 0.2483, 0.2483)
Os (0.4947, 0.4947, 0.4947)

Results
Energy above the most stable polymorph in this dataset = 0.31 eV per formula unit
Total magnetic moment = 3.5 μB per formula unit


Record 4
Density functional theory data (PBE-GGA) for a relaxed GaRu2Se crystal.

a = 4.3711 Å, b = 4.3711 Å, c = 4.3711 Å
α = 60.00°, β = 60.00°, γ = 60.00°
Fractional coordinates of all 4 atoms:
Ga (0.0000, 0.0000, 0.0000)
Ru (0.2500, 0.2500, 0.2500)
Ru (0.7500, 0.7500, 0.7500)
Se (0.5000, 0.5000, 0.5000)

Results
Total magnetic moment = 0.0 μB per formula unit
ΔE_f (raw) = 0.28 eV per formula unit


Record 5
Density functional theory data (PBE-GGA) for a relaxed Ti6InO crystal.

a = 4.8135 Å, b = 5.4342 Å, c = 5.4857 Å
α = 81.57°, β = 66.19°, γ = 88.58°
Fractional coordinates of all 8 atoms:
Ti (0.0525, 0.3074, 0.3421)
Ti (0.1682, 0.8245, 0.0708)
Ti (0.4291, 0.4120, 0.7687)
Ti (0.5709, 0.5880, 0.2313)
Ti (0.8318, 0.1755, 0.9292)
Ti (0.9475, 0.6926, 0.6579)
In (0.5000, 0.0000, 0.5000)
O (0.0000, 0.5000, 0.0000)

Results
Total magnetic moment = 0.0 μB per formula unit
ΔE_f (raw) = -5.51 eV per formula unit


Record 6
Density functional theory data (PBE-GGA) for a relaxed La8NiP3Cl4 crystal.

a = 8.4890 Å, b = 8.4890 Å, c = 8.4890 Å
α = 59.69°, β = 59.69°, γ = 59.69°
Fractional coordinates of all 16 atoms:
La (0.2421, 0.2421, 0.2421)
La (0.2454, 0.7402, 0.7402)
La (0.2598, 0.2598, 0.7546)
La (0.2598, 0.7546, 0.2598)
La (0.7402, 0.2454, 0.7402)
La (0.7402, 0.7402, 0.2454)
La (0.7546, 0.2598, 0.2598)
La (0.7579, 0.7579, 0.7579)
Ni (0.5000, 0.5000, 0.5000)
P (0.0000, 0.0000, 0.5000)
P (0.0000, 0.5000, 0.0000)
P (0.5000, 0.0000, 0.0000)
Cl (0.0000, 0.0000, 0.0000)
Cl (0.0000, 0.5000, 0.5000)
Cl (0.5000, 0.0000, 0.5000)
Cl (0.5000, 0.5000, 0.0000)

Results
Total magnetic moment = 0.0 μB per formula unit
ΔE_f (raw) = -24.13 eV per formula unit


Record 7
Density functional theory data (PBE-GGA) for a relaxed TcPbS2Cl crystal.

a = 5.2385 Å, b = 5.2385 Å, c = 5.2321 Å
α = 90.00°, β = 90.00°, γ = 90.00°
Fractional coordinates of all 5 atoms:
Tc (0.0000, 0.0000, 0.0000)
Pb (0.5000, 0.5000, 0.5000)
S (0.0000, 0.5000, 0.5000)
S (0.5000, 0.0000, 0.5000)
Cl (0.5000, 0.5000, 0.0000)

Results
Energy above the most stable polymorph in this dataset = 5.06 eV per formula unit
Total magnetic moment = 5.1 μB per formula unit
ΔE_f (raw) = 4.33 eV per formula unit


Record 8
Density functional theory data (PBE-GGA) for a relaxed NdDy5Tm crystal.

a = 6.5052 Å, b = 6.5052 Å, c = 11.4510 Å
α = 103.26°, β = 103.26°, γ = 95.85°
Fractional coordinates of all 14 atoms:
Nd (0.0000, 0.5000, 0.0000)
Nd (0.5000, 0.0000, 0.5000)
Dy (0.0681, 0.2733, 0.5351)
Dy (0.0852, 0.9148, 0.2500)
Dy (0.2733, 0.0681, 0.0351)
Dy (0.3033, 0.4467, 0.3328)
Dy (0.4467, 0.3033, 0.8328)
Dy (0.5533, 0.6967, 0.1672)
Dy (0.6967, 0.5533, 0.6672)
Dy (0.7267, 0.9319, 0.9649)
Dy (0.9148, 0.0852, 0.7500)
Dy (0.9319, 0.7267, 0.4649)
Tm (0.2586, 0.7414, 0.7500)
Tm (0.7414, 0.2586, 0.2500)

Results
Energy above the most stable polymorph in this dataset = 0.00 eV per formula unit
Total magnetic moment = 0.0 μB per formula unit